Compound: CsMnIO2
Source: the Alexandria database
Functional: PBE with a Hubbard U
Structure: relaxed

Uncorrected energy, eV/atom: -3.547

Structure (CIF):
```
data_CsMnIO2
_cell_length_a 4.4664
_cell_length_b 4.4664
_cell_length_c 7.2071
_cell_angle_alpha 90.00
_cell_angle_beta 90.00
_cell_angle_gamma 90.00
_symmetry_space_group_name_H-M 'P 4/m m m'
_symmetry_Int_Tables_number 123
_symmetry_space_group_name_Hall '-P 4 2'
loop_
_atom_site_label
_atom_site_type_symbol
_atom_site_fract_x
_atom_site_fract_y
_atom_site_fract_z
_atom_site_occupancy
Cs1 Cs 0.0000 0.0000 0.0000 1
Mn1 Mn 0.5000 0.5000 0.5000 1
I1 I 0.0000 0.0000 0.5000 1
O1 O 0.0000 0.5000 0.0000 1
```